A plane-wave DFT calculation with GGA-PBE was carried out for a relaxed YNi2Ru crystal.

DOS at the Fermi energy (states/eV per cell): 14.21
Volume (Å³ per cell): 123
Total moment (μB per formula unit): 0.4
Energy relative to the elements (eV per atom): 0.002
Energy above the lowest structure with this stoichiometry (kJ/mol of atoms): 18.18
Mass density (g/cm3): 8.31

abc: 4.052 4.052 7.481
angles: 90.00 90.00 90.00
Space group I4/mmm (No. 139)
One atom of each set of equivalent atoms:
Y 0.000 0.000 0.000 [2 per cell]
Ni 0.000 0.500 0.250 [4 per cell]
Ru 0.000 0.000 0.500 [2 per cell]



A plane-wave DFT calculation with GGA-PBE was carried out for a relaxed YNi2Ru crystal.

DOS at the Fermi energy (states/eV per cell): 5.83
Volume (Å³ per cell): 62
Total moment (μB per formula unit): 0.0
Energy relative to the elements (eV per atom): 0.024
Energy above the lowest structure with this stoichiometry (kJ/mol of atoms): 20.22
Mass density (g/cm3): 8.24

abc: 2.936 3.609 5.845
angles: 90.00 90.16 90.00
Space group P2/m (No. 10)
One atom of each set of equivalent atoms:
Y 0.000 0.000 0.000 [1 per cell]
Ni 0.500 0.500 0.296 [2 per cell]
Ru 0.000 0.000 0.500 [1 per cell]



A plane-wave DFT calculation with GGA-PBE was carried out for a relaxed Y8Ni2Ru crystal.

DOS at the Fermi energy (states/eV per cell): 24.65
Volume (Å³ per cell): 555
Total moment (μB per formula unit): 0.0
Energy relative to the elements (eV per atom): -0.223
Mass density (g/cm3): 5.56

abc: 17.140 5.049 6.676
angles: 90.00 106.15 90.00
Space group C2/m (No. 12)
One atom of each set of equivalent atoms:
Y 0.036 0.000 0.295 [4 per cell]
Y 0.091 0.500 0.943 [4 per cell]
Y 0.170 0.500 0.475 [4 per cell]
Y 0.200 0.000 0.824 [4 per cell]
Ni 0.189 0.000 0.216 [4 per cell]
Ru 0.000 0.500 0.500 [2 per cell]



A plane-wave DFT calculation with GGA-PBE was carried out for a relaxed Y2NiRu crystal.

DOS at the Fermi energy (states/eV per cell): 4.97
Volume (Å³ per cell): 169
Total moment (μB per formula unit): 0.0
Energy relative to the elements (eV per atom): -0.350
Mass density (g/cm3): 6.62

abc: 4.029 4.016 10.471
angles: 90.00 90.00 90.00
Space group Amm2 (No. 38)
One atom of each set of equivalent atoms:
Y 0.000 0.000 0.000 [2 per cell]
Y 0.500 0.000 0.288 [2 per cell]
Ni 0.000 0.000 0.713 [2 per cell]
Ru 0.500 0.000 0.579 [2 per cell]



A plane-wave DFT calculation with GGA-PBE was carried out for a relaxed YNi2Ru crystal.

DOS at the Fermi energy (states/eV per cell): 10.06
Volume (Å³ per cell): 124
Total moment (μB per formula unit): 1.4
Energy relative to the elements (eV per atom): 0.058
Energy above the lowest structure with this stoichiometry (kJ/mol of atoms): 23.54
Mass density (g/cm3): 8.24

abc: 3.734 4.109 8.073
angles: 90.00 90.00 90.00
Space group Imm2 (No. 44)
One atom of each set of equivalent atoms:
Y 0.000 0.000 0.000 [2 per cell]
Ni 0.000 0.000 0.495 [2 per cell]
Ni 0.000 0.500 0.760 [2 per cell]
Ru 0.000 0.500 0.240 [2 per cell]



A plane-wave DFT calculation with GGA-PBE was carried out for a relaxed YNi2Ru crystal.

DOS at the Fermi energy (states/eV per cell): 14.79
Volume (Å³ per cell): 207
Total moment (μB per formula unit): 0.6
Energy relative to the elements (eV per atom): -0.186
Energy above the lowest structure with this stoichiometry (kJ/mol of atoms): 0.00
Mass density (g/cm3): 7.41

abc: 4.1551 4.1551 13.8155
angles: 90.00 90.00 120.00
Space group R-3m (No. 166, hexagonal axes)
One atom of each set of equivalent atoms:
Y 0.0000 0.0000 0.0000 [3 per cell]
Ni 0.0000 0.0000 0.1976 [6 per cell]
Ru 0.0000 0.0000 0.5000 [3 per cell]



A plane-wave DFT calculation with GGA-PBE was carried out for a relaxed Y6Ni2Ru crystal.

DOS at the Fermi energy (states/eV per cell): 36.42
Volume (Å³ per cell): 861
Total moment (μB per formula unit): 0.0
Energy relative to the elements (eV per atom): -0.287
Mass density (g/cm3): 5.80

abc: 9.412 9.552 9.579
angles: 90.00 90.00 90.00
Space group Immm (No. 71)
One atom of each set of equivalent atoms:
Y 0.000 0.192 0.173 [8 per cell]
Y 0.174 0.244 0.500 [8 per cell]
Y 0.184 0.500 0.236 [8 per cell]
Ni 0.000 0.000 0.382 [4 per cell]
Ni 0.159 0.000 0.000 [4 per cell]
Ru 0.000 0.500 0.000 [2 per cell]
Ru 0.000 0.500 0.500 [2 per cell]



A plane-wave DFT calculation with GGA-PBE was carried out for a relaxed YNi2Ru crystal.

DOS at the Fermi energy (states/eV per cell): 7.12
Volume (Å³ per cell): 301
Total moment (μB per formula unit): 0.0
Energy relative to the elements (eV per atom): 0.258
Energy above the lowest structure with this stoichiometry (kJ/mol of atoms): 42.81
Mass density (g/cm3): 6.78

abc: 4.226 4.226 16.853
angles: 90.00 90.00 90.00
Space group I-42d (No. 122)
One atom of each set of equivalent atoms:
Y 0.000 0.000 0.000 [4 per cell]
Ni 0.091 0.250 0.625 [8 per cell]
Ru 0.000 0.000 0.500 [4 per cell]



A plane-wave DFT calculation with GGA-PBE was carried out for a relaxed YNiRu2 crystal.

DOS at the Fermi energy (states/eV per cell): 5.24
Volume (Å³ per cell): 139
Total moment (μB per formula unit): 0.0
Energy relative to the elements (eV per atom): 0.111
Energy above the lowest structure with this stoichiometry (kJ/mol of atoms): 6.01
Mass density (g/cm3): 8.33

abc: 4.875 6.499 4.400
angles: 90.00 90.00 90.00
Space group Cmmm (No. 65)
One atom of each set of equivalent atoms:
Y 0.000 0.000 0.000 [2 per cell]
Ni 0.000 0.500 0.000 [2 per cell]
Ru 0.000 0.307 0.500 [4 per cell]



A plane-wave DFT calculation with GGA-PBE was carried out for a relaxed Y2NiRu crystal.

DOS at the Fermi energy (states/eV per cell): 5.30
Volume (Å³ per cell): 160
Total moment (μB per formula unit): 0.0
Energy relative to the elements (eV per atom): -0.105
Mass density (g/cm3): 7.02

abc: 4.001 4.001 9.982
angles: 90.00 90.00 90.00
Space group I-4m2 (No. 119)
One atom of each set of equivalent atoms:
Y 0.000 0.000 0.000 [2 per cell]
Y 0.000 0.500 0.250 [2 per cell]
Ni 0.000 0.500 0.750 [2 per cell]
Ru 0.000 0.000 0.500 [2 per cell]



A plane-wave DFT calculation with GGA-PBE was carried out for a relaxed YNiRu2 crystal.

DOS at the Fermi energy (states/eV per cell): 8.00
Volume (Å³ per cell): 136
Total moment (μB per formula unit): 0.0
Energy relative to the elements (eV per atom): 0.098
Energy above the lowest structure with this stoichiometry (kJ/mol of atoms): 4.67
Mass density (g/cm3): 8.56

abc: 8.956 3.108 5.016
angles: 90.00 103.75 90.00
Space group Cm (No. 8)
One atom of each set of equivalent atoms:
Y 0.000 0.000 0.000 [2 per cell]
Ni 0.238 0.000 0.726 [2 per cell]
Ru 0.262 0.500 0.360 [2 per cell]
Ru 0.498 0.000 0.491 [2 per cell]



A plane-wave DFT calculation with GGA-PBE was carried out for a relaxed Y5NiRu4 crystal.

DOS at the Fermi energy (states/eV per cell): 7.75
Volume (Å³ per cell): 198
Total moment (μB per formula unit): 0.0
Energy relative to the elements (eV per atom): -0.325
Mass density (g/cm3): 7.59

abc: 3.425 3.425 16.916
angles: 90.00 90.00 90.00
Space group P4/mmm (No. 123)
One atom of each set of equivalent atoms:
Y 0.000 0.000 0.000 [1 per cell]
Y 0.000 0.000 0.201 [2 per cell]
Y 0.000 0.000 0.400 [2 per cell]
Ni 0.500 0.500 0.500 [1 per cell]
Ru 0.500 0.500 0.101 [2 per cell]
Ru 0.500 0.500 0.305 [2 per cell]



A plane-wave DFT calculation with GGA-PBE was carried out for a relaxed YNi2Ru crystal.

DOS at the Fermi energy (states/eV per cell): 34.40
Volume (Å³ per cell): 248
Total moment (μB per formula unit): 1.4
Energy relative to the elements (eV per atom): 0.035
Energy above the lowest structure with this stoichiometry (kJ/mol of atoms): 21.33
Mass density (g/cm3): 8.22

abc: 6.285 6.285 6.285
angles: 90.00 90.00 90.00
Space group Fm-3m (No. 225)
One atom of each set of equivalent atoms:
Y 0.000 0.000 0.000 [4 per cell]
Ni 0.250 0.250 0.250 [8 per cell]
Ru 0.000 0.000 0.500 [4 per cell]



A plane-wave DFT calculation with GGA-PBE was carried out for a relaxed YNi2Ru crystal.

DOS at the Fermi energy (states/eV per cell): 6.50
Volume (Å³ per cell): 63
Total moment (μB per formula unit): 0.0
Energy relative to the elements (eV per atom): 0.040
Energy above the lowest structure with this stoichiometry (kJ/mol of atoms): 21.79
Mass density (g/cm3): 8.15

abc: 3.220 3.220 6.042
angles: 90.00 90.00 90.00
Space group P4mm (No. 99)
One atom of each set of equivalent atoms:
Y 0.000 0.000 0.000 [1 per cell]
Ni 0.000 0.000 0.491 [1 per cell]
Ni 0.500 0.500 0.283 [1 per cell]
Ru 0.500 0.500 0.685 [1 per cell]



A plane-wave DFT calculation with GGA-PBE was carried out for a relaxed Y2NiRu crystal.

DOS at the Fermi energy (states/eV per cell): 10.83
Volume (Å³ per cell): 363
Total moment (μB per formula unit): 0.0
Energy relative to the elements (eV per atom): 0.517
Mass density (g/cm3): 6.18

abc: 4.588 4.588 17.238
angles: 90.00 90.00 90.00
Space group I-42d (No. 122)
One atom of each set of equivalent atoms:
Y 0.248 0.250 0.125 [8 per cell]
Ni 0.000 0.000 0.500 [4 per cell]
Ru 0.000 0.000 0.000 [4 per cell]



A plane-wave DFT calculation with GGA-PBE was carried out for a relaxed YNiRu2 crystal.

DOS at the Fermi energy (states/eV per cell): 4.51
Volume (Å³ per cell): 65
Total moment (μB per formula unit): 0.0
Energy relative to the elements (eV per atom): 0.049
Energy above the lowest structure with this stoichiometry (kJ/mol of atoms): 0.00
Mass density (g/cm3): 8.91

abc: 2.981 4.197 5.412
angles: 90.00 105.74 90.00
Space group Pm (No. 6)
One atom of each set of equivalent atoms:
Y 0.000 0.000 0.000 [1 per cell]
Ni 0.601 0.500 0.207 [1 per cell]
Ru 0.310 0.500 0.630 [1 per cell]
Ru 0.732 0.000 0.481 [1 per cell]



A plane-wave DFT calculation with GGA-PBE was carried out for a relaxed Y4NiRu3 crystal.

DOS at the Fermi energy (states/eV per cell): 11.94
Volume (Å³ per cell): 317
Total moment (μB per formula unit): 0.0
Energy relative to the elements (eV per atom): -0.327
Mass density (g/cm3): 7.51

abc: 4.836 4.836 13.570
angles: 90.00 90.00 90.00
Space group I4/mmm (No. 139)
One atom of each set of equivalent atoms:
Y 0.000 0.500 0.126 [8 per cell]
Ni 0.000 0.000 0.000 [2 per cell]
Ru 0.000 0.000 0.250 [4 per cell]
Ru 0.000 0.000 0.500 [2 per cell]



A plane-wave DFT calculation with GGA-PBE was carried out for a relaxed YNi3Ru crystal.

DOS at the Fermi energy (states/eV per cell): 5.95
Volume (Å³ per cell): 92
Total moment (μB per formula unit): 1.6
Energy relative to the elements (eV per atom): 0.496
Energy above the lowest structure with this stoichiometry (kJ/mol of atoms): 0.00
Mass density (g/cm3): 6.62

abc: 4.511 4.511 4.511
angles: 90.00 90.00 90.00
Space group Pm-3m (No. 221)
One atom of each set of equivalent atoms:
Y 0.000 0.000 0.000 [1 per cell]
Ni 0.000 0.500 0.500 [3 per cell]
Ru 0.500 0.500 0.500 [1 per cell]



A plane-wave DFT calculation with GGA-PBE was carried out for a relaxed YNiRu2 crystal.

DOS at the Fermi energy (states/eV per cell): 9.48
Volume (Å³ per cell): 128
Total moment (μB per formula unit): 0.0
Energy relative to the elements (eV per atom): 0.093
Energy above the lowest structure with this stoichiometry (kJ/mol of atoms): 4.19
Mass density (g/cm3): 9.08

abc: 4.095 4.095 7.632
angles: 90.00 90.00 90.00
Space group I-4m2 (No. 119)
One atom of each set of equivalent atoms:
Y 0.000 0.000 0.000 [2 per cell]
Ni 0.000 0.500 0.750 [2 per cell]
Ru 0.000 0.000 0.500 [2 per cell]
Ru 0.000 0.500 0.250 [2 per cell]



A plane-wave DFT calculation with GGA-PBE was carried out for a relaxed YNiRu3 crystal.

DOS at the Fermi energy (states/eV per cell): 7.16
Volume (Å³ per cell): 93
Total moment (μB per formula unit): 4.0
Energy relative to the elements (eV per atom): 0.745
Energy above the lowest structure with this stoichiometry (kJ/mol of atoms): 0.00
Mass density (g/cm3): 8.09

abc: 4.524 4.524 4.524
angles: 90.00 90.00 90.00
Space group Pm-3m (No. 221)
One atom of each set of equivalent atoms:
Y 0.000 0.000 0.000 [1 per cell]
Ni 0.500 0.500 0.500 [1 per cell]
Ru 0.000 0.500 0.500 [3 per cell]